PBE Pr2NdEr2, optimized geometry; space-group type = C2/m (12); polymorph energy (0 for the lowest one) = 0.0000 eV/atom; VASP energy = -4.683 eV per atom; DOS at the Fermi energy = 6.50 states/eV/f.u.; size of the total moment = 0.000 μB/atom; energy of formation = 0.008 eV per atom
1.0
3.150 -1.820 0.000
3.150 1.820 0.000
-2.124 0.000 14.681
Pr Nd Er
2 1 2
Direct
0.132 0.132 0.393
0.868 0.868 0.607
0.000 0.000 0.000
0.399 0.399 0.196
0.601 0.601 0.804